Ca2NiSe: PBEsol geometry, meta-GGA SCAN.

It has space group Amm2 (No. 38), with a = 4.147 Å, b = 3.889 Å, c = 10.703 Å, α = 90.00°, β = 90.00° and γ = 90.00°. The asymmetric unit holds Ca at (0.000, 0.000, 0.000), Ca at (0.500, 0.000, 0.282), Ni at (0.000, 0.000, 0.712) and Se at (0.500, 0.000, 0.572).

The size of the total moment is 0.000 Bohr magnetons per cell. The final energy is -14.79 eV/atom.

***

NiRhPb2: PBEsol geometry, meta-GGA SCAN.

It has space group Amm2 (No. 38), with a = 4.036 Å, b = 3.603 Å, c = 10.198 Å, α = 90.00°, β = 90.00° and γ = 90.00°. The asymmetric unit holds Ni at (0.000, 0.000, 0.000), Rh at (0.500, 0.000, 0.846), Pb at (0.000, 0.000, 0.270) and Pb at (0.500, 0.000, 0.563).

The size of the total moment is 0.000 Bohr magnetons per cell. The calculated formation energy comes out at 0.111 eV per atom. The final energy is -50.27 eV/atom.

***

BeCo2Br: PBEsol geometry, meta-GGA SCAN.

It has space group P4/mmm (No. 123), with a = 2.935 Å, b = 2.935 Å, c = 5.712 Å, α = 90.00°, β = 90.00° and γ = 90.00°. The asymmetric unit holds Be at (0.000, 0.000, 0.000), Co at (0.500, 0.500, 0.196) and Br at (0.000, 0.000, 0.500).

The size of the total moment is 3.104 Bohr magnetons per cell. The final energy is -14.11 eV/atom.

***

The highest size of the total moment belongs to which entry?
BeCo2Br